# SrCr2Pd

A relaxed SrCr2Pd crystal (GGA-PBE, the Alexandria database).

abc: 4.559 4.559 4.559
angles: 60.00 60.00 60.00
Element x y z (fractional)
Sr  0.000  0.000  0.000
Cr  0.250  0.250  0.250
Cr  0.750  0.750  0.750
Pd  0.500  0.500  0.500

Calculated values
Total magnetization in Bohr magnetons per cell: 0.0
Excess energy over the best structure of this formula in the dataset in eV per formula unit: 1.599
DFT formation energy in eV/f.u.: 4.9

***

# K3Pr3ErTe8

A relaxed K3Pr3ErTe8 crystal (GGA-PBE, the Alexandria database).

abc: 9.057 9.063 9.988
angles: 117.00 90.00 119.97
Element x y z (fractional)
K  0.000  0.000  0.000
K  0.500  0.500  0.000
K  0.000  0.500  0.000
Pr  0.500  0.000  0.500
Pr  0.000  0.500  0.500
Pr  0.500  0.500  0.500
Te  0.769  0.537  0.290
Te  0.739  0.478  0.718
Te  0.747  0.978  0.710
Te  0.231  0.463  0.710
Te  0.769  0.022  0.290
Te  0.231  0.978  0.710
Te  0.261  0.522  0.282
Te  0.253  0.022  0.290
Er  0.000  0.000  0.500

Calculated values
Total magnetization in Bohr magnetons per cell: 0.0
Raw formation energy in meV per atom: -1320

***

# BeGaAsSe2

A relaxed BeGaAsSe2 crystal (GGA-PBE, the Alexandria database).

abc: 4.878 4.878 4.296
angles: 90.00 90.00 90.00
Element x y z (fractional)
Se  0.000  0.500  0.000
Se  0.500  0.000  0.000
As  0.000  0.000  0.500
Ga  0.500  0.500  0.500
Be  0.000  0.000  0.000

Calculated values
Total magnetization in Bohr magnetons per cell: 0.0
Raw formation energy in meV per atom: 265
Excess energy over the best structure of this formula in the dataset in eV per formula unit: 0.000

***

# BeAlZnAs2

A relaxed BeAlZnAs2 crystal (GGA-PBE, the Alexandria database).

abc: 4.907 4.150 4.907
angles: 90.00 90.00 90.00
Element x y z (fractional)
As  0.500  0.000  0.000
As  0.000  0.000  0.500
Al  0.500  0.500  0.500
Be  0.000  0.500  0.000
Zn  0.000  0.000  0.000

Calculated values
Total magnetization in Bohr magnetons per cell: 0.0
DFT formation energy in eV/f.u.: 3.8

***

# Fe2AgRu

A relaxed Fe2AgRu crystal (GGA-PBE, the Alexandria database).

abc: 4.327 4.327 4.327
angles: 60.00 60.00 60.00
Each line ends with the local moment (μB).
Element x y z (fractional)
Ru  0.250  0.250  0.250  1.00
Fe  0.000  0.000  0.000  2.78
Fe  0.750  0.750  0.750  3.00
Ag  0.500  0.500  0.500  0.06

Calculated values
Total magnetization in Bohr magnetons per cell: 6.8
Excess energy over the best structure of this formula in the dataset in eV per formula unit: 0.841
DFT formation energy in eV/f.u.: 2.0

***

# Sc2In2Pb

A relaxed Sc2In2Pb crystal (GGA-PBE, the Alexandria database).

abc: 8.409 8.409 3.577
angles: 90.00 90.00 90.00
Element x y z (fractional)
Sc  0.632  0.132  0.000
Sc  0.368  0.868  0.000
Sc  0.132  0.368  0.000
Sc  0.868  0.632  0.000
Pb  0.500  0.500  0.000
Pb  0.000  0.000  0.000
In  0.829  0.329  0.500
In  0.329  0.171  0.500
In  0.671  0.829  0.500
In  0.171  0.671  0.500

Calculated values
Total magnetization in Bohr magnetons per cell: 0.0
Excess energy over the best structure of this formula in the dataset in eV per formula unit: 0.501
DFT formation energy in eV/f.u.: -0.9